Computed, not measured: a relaxed NdInSnHg crystal at the GGA-PBE level of DFT.

Results
M_tot (μB per formula unit): 0.0
Distance to the lowest polymorph of the same formula (eV per formula unit): 0.767
Energy (eV per atom): -3.25
Energy of formation from the pure elements (eV/atom): -0.295

```
NdInSnHg
1.0
0.0000 3.7864 3.7864
3.7864 0.0000 3.7864
3.7864 3.7864 0.0000
Nd In Sn Hg
1 1 1 1
direct
0.0000 0.0000 0.0000
0.5000 0.5000 0.5000
0.7500 0.7500 0.7500
0.2500 0.2500 0.2500
```